# 1
# PBE CeSmAl2, optimized geometry
data_CeSmAl2
_space_group_name_H-M_alt 'P 1 21/m 1'
_space_group_IT_number 11
_cell_length_a 4.168
_cell_length_b 4.569
_cell_length_c 10.701
_cell_angle_alpha 90.00
_cell_angle_beta 101.19
_cell_angle_gamma 90.00
loop_
_space_group_symop_operation_xyz
'x,y,z'
'-x,-y,-z'
'-x,y+1/2,-z'
'x,-y+1/2,z'
loop_
_atom_site_label
_atom_site_type_symbol
_atom_site_fract_x
_atom_site_fract_y
_atom_site_fract_z
Ce1 Ce 0.044 0.250 0.089
Sm1 Sm 0.311 0.750 0.619
Al1 Al 0.154 0.750 0.309
Al2 Al 0.424 0.250 0.848
# Electronic total energy in eV/atom: -4.8909
# E_form in meV per atom: -356
# N(E_F) in states/eV/cell: 10.83

# 2
# PBE CeSmAl4, optimized geometry
data_CeSmAl4
_space_group_name_H-M_alt 'F -4 3 m'
_space_group_IT_number 216
_space_group_name_Hall 'F -4 2 3'
_cell_length_a 7.968
_cell_length_b 7.968
_cell_length_c 7.968
_cell_angle_alpha 90.00
_cell_angle_beta 90.00
_cell_angle_gamma 90.00
loop_
_atom_site_label
_atom_site_type_symbol
_atom_site_fract_x
_atom_site_fract_y
_atom_site_fract_z
Ce1 Ce 0.000 0.000 0.000
Sm1 Sm 0.250 0.250 0.750
Al1 Al 0.126 0.126 0.374
# Electronic total energy in eV/atom: -4.7365
# E_form in meV per atom: -466
# N(E_F) in states/eV/cell: 31.47

# 3
# PBE CeSmAl2, optimized geometry
data_CeSmAl2
_space_group_name_H-M_alt 'P 4/m m m'
_space_group_IT_number 123
_space_group_name_Hall '-P 4 2'
_cell_length_a 3.379
_cell_length_b 3.379
_cell_length_c 8.483
_cell_angle_alpha 90.00
_cell_angle_beta 90.00
_cell_angle_gamma 90.00
loop_
_atom_site_label
_atom_site_type_symbol
_atom_site_fract_x
_atom_site_fract_y
_atom_site_fract_z
Ce1 Ce 0.000 0.000 0.000
Sm1 Sm 0.000 0.000 0.500
Al1 Al 0.500 0.500 0.250
# Electronic total energy in eV/atom: -4.8571
# E_form in meV per atom: -323
# N(E_F) in states/eV/cell: 4.34

electronic total energy of number 3 (CeSmAl2)?
-4.8571 eV/atom